(1)
Density functional theory data (PBE-GGA) for a relaxed Ac3ZnP2Pt9 crystal.

Cell lengths 6.320, 6.320, 9.279 Å; angles 90.00, 90.00, 120.00 degrees
Fractional coordinates of all 15 atoms:
Ac: 0.333 0.667 0.647
Ac: 0.000 0.000 0.000
Ac: 0.667 0.333 0.353
Zn: 0.000 0.000 0.500
P: 0.333 0.667 0.174
P: 0.667 0.333 0.826
Pt: 0.851 0.149 0.710
Pt: 0.851 0.701 0.710
Pt: 0.299 0.149 0.710
Pt: 0.701 0.851 0.290
Pt: 0.149 0.299 0.290
Pt: 0.149 0.851 0.290
Pt: 0.500 0.000 0.000
Pt: 0.000 0.500 0.000
Pt: 0.500 0.500 0.000

Symmetry: No. 164
DFT formation energy in meV/atom: -783
Crystal system: trigonal
Size of the total moment in μB per cell: 0.00
E_tot in eV per atom: -6.04



(2)
Density functional theory data (PBE-GGA) for a relaxed Ac2ZnPPt6 crystal.

Cell lengths 6.483, 7.010, 5.648 Å; angles 66.18, 64.24, 85.36 degrees
Fractional coordinates of all 10 atoms:
Ac: 0.726 0.193 0.540
Ac: 0.274 0.807 0.460
Zn: 0.000 0.000 0.000
P: 0.500 0.500 0.000
Pt: 0.255 0.279 0.487
Pt: 0.745 0.721 0.020
Pt: 0.127 0.627 0.123
Pt: 0.873 0.373 0.877
Pt: 0.255 0.279 0.980
Pt: 0.745 0.721 0.513

Symmetry: No. 2
DFT formation energy in meV/atom: -882
Crystal system: triclinic
Size of the total moment in μB per cell: 0.00
E_tot in eV per atom: -6.00



(3)
Density functional theory data (PBE-GGA) for a relaxed AcPuP2 crystal.

Cell lengths 5.108, 5.108, 5.108 Å; angles 60.00, 60.00, 60.00 degrees
Site moments in Bohr magnetons follow the coordinates.
Fractional coordinates of all 4 atoms:
P: 0.250 0.250 0.250  0.15
P: 0.750 0.750 0.750  0.15
Ac: 0.500 0.500 0.500  -0.03
Pu: 0.000 0.000 0.000  -5.20

Symmetry: No. 225
DFT formation energy in meV/atom: -901
Crystal system: cubic
Size of the total moment in μB per cell: 4.97
E_tot in eV per atom: -8.22



(4)
Density functional theory data (PBE-GGA) for a relaxed AcPuP crystal.

Cell lengths 3.873, 3.873, 12.394 Å; angles 81.01, 81.01, 60.00 degrees
Fractional coordinates of all 6 atoms:
Ac: 0.386 0.386 0.841
Ac: 0.614 0.614 0.159
P: 0.227 0.227 0.319
P: 0.773 0.773 0.681
Pu: 0.152 0.152 0.543
Pu: 0.848 0.848 0.457

Symmetry: No. 166
DFT formation energy in meV/atom: -535
Crystal system: trigonal
Size of the total moment in μB per cell: 0.15
E_tot in eV per atom: -8.49



(5)
Density functional theory data (PBE-GGA) for a relaxed Ac4PuP5 crystal.

Cell lengths 4.382, 4.382, 15.745 Å; angles 98.00, 98.00, 90.00 degrees
Site moments in Bohr magnetons follow the coordinates.
Fractional coordinates of all 10 atoms:
Ac: 0.402 0.402 0.805  0.00
Ac: 0.801 0.801 0.602  0.00
Ac: 0.199 0.199 0.398  0.00
Ac: 0.598 0.598 0.195  0.00
Pu: 0.000 0.000 0.000  5.07
P: 0.094 0.094 0.188  -0.05
P: 0.500 0.500 0.000  -0.13
P: 0.906 0.906 0.812  -0.05
P: 0.301 0.301 0.601  -0.01
P: 0.699 0.699 0.399  -0.01

Symmetry: No. 139
DFT formation energy in meV/atom: -1334
Crystal system: tetragonal
Size of the total moment in μB per cell: 4.89
E_tot in eV per atom: -7.12



(6)
Density functional theory data (PBE-GGA) for a relaxed AcPuP crystal.

Cell lengths 3.743, 3.743, 6.575 Å; angles 106.54, 106.54, 90.00 degrees
Site moments in Bohr magnetons follow the coordinates.
Fractional coordinates of all 3 atoms:
P: 0.689 0.689 0.378  -0.09
Ac: 0.025 0.025 0.049  0.09
Pu: 0.287 0.287 0.573  5.39

Symmetry: No. 107
DFT formation energy in meV/atom: -546
Crystal system: tetragonal
Size of the total moment in μB per cell: 5.82
E_tot in eV per atom: -8.50



(7)
Density functional theory data (PBE-GGA) for a relaxed AcPu2P crystal.

Cell lengths 3.727, 3.727, 10.719 Å; angles 79.99, 79.99, 60.00 degrees
Site moments in Bohr magnetons follow the coordinates.
Fractional coordinates of all 4 atoms:
P: 0.500 0.500 0.500  -0.15
Ac: 0.000 0.000 0.000  0.19
Pu: 0.112 0.112 0.665  5.45
Pu: 0.888 0.888 0.335  5.45

Symmetry: No. 166
DFT formation energy in meV/atom: -225
Crystal system: trigonal
Size of the total moment in μB per cell: 12.16
E_tot in eV per atom: -9.77



(8)
Density functional theory data (PBE-GGA) for a relaxed AcPu2P4 crystal.

Cell lengths 4.280, 7.246, 11.460 Å; angles 90.00, 90.00, 107.18 degrees
Site moments in Bohr magnetons follow the coordinates.
Fractional coordinates of all 14 atoms:
Ac: 0.602 0.204 0.750  -0.06
Ac: 0.398 0.796 0.250  -0.06
Pu: 0.131 0.262 0.448  4.83
Pu: 0.869 0.738 0.948  4.83
Pu: 0.131 0.262 0.052  4.83
Pu: 0.869 0.738 0.552  4.83
P: 0.751 0.503 0.151  -0.10
P: 0.751 0.503 0.349  -0.10
P: 0.249 0.497 0.849  -0.10
P: 0.249 0.497 0.651  -0.10
P: 0.957 0.915 0.750  -0.22
P: 0.043 0.085 0.250  -0.22
P: 0.500 0.000 0.000  -0.18
P: 0.500 0.000 0.500  -0.18

Symmetry: No. 63
DFT formation energy in meV/atom: -894
Crystal system: orthorhombic
Size of the total moment in μB per cell: 17.98
E_tot in eV per atom: -8.67



(9)
Density functional theory data (PBE-GGA) for a relaxed AcPuP2 crystal.

Cell lengths 4.221, 4.221, 7.297 Å; angles 73.19, 73.19, 60.00 degrees
Site moments in Bohr magnetons follow the coordinates.
Fractional coordinates of all 4 atoms:
Ac: 0.500 0.500 0.500  0.02
Pu: 0.000 0.000 0.000  4.95
P: 0.260 0.260 0.219  -0.11
P: 0.740 0.740 0.781  -0.11

Symmetry: No. 166
DFT formation energy in meV/atom: -1254
Crystal system: trigonal
Size of the total moment in μB per cell: 4.94
E_tot in eV per atom: -8.57



(10)
Density functional theory data (PBE-GGA) for a relaxed AcPuP crystal.

Cell lengths 5.008, 5.008, 5.008 Å; angles 60.00, 60.00, 60.00 degrees
Site moments in Bohr magnetons follow the coordinates.
Fractional coordinates of all 3 atoms:
P: 0.250 0.250 0.250  -0.07
Ac: 0.500 0.500 0.500  0.26
Pu: 0.000 0.000 0.000  5.72

Symmetry: No. 216
DFT formation energy in meV/atom: -490
Crystal system: cubic
Size of the total moment in μB per cell: 6.72
E_tot in eV per atom: -8.44



(11)
Density functional theory data (PBE-GGA) for a relaxed AcPu2P crystal.

Cell lengths 3.625, 3.625, 8.476 Å; angles 90.00, 90.00, 90.00 degrees
Site moments in Bohr magnetons follow the coordinates.
Fractional coordinates of all 4 atoms:
P: 0.500 0.500 0.000  -0.13
Ac: 0.500 0.500 0.500  0.05
Pu: 0.000 0.000 0.830  5.48
Pu: 0.000 0.000 0.170  5.48

Symmetry: No. 123
DFT formation energy in meV/atom: -364
Crystal system: tetragonal
Size of the total moment in μB per cell: 11.65
E_tot in eV per atom: -9.91



(12)
Density functional theory data (PBE-GGA) for a relaxed AcPuP2 crystal.

Cell lengths 3.593, 3.593, 7.156 Å; angles 90.00, 90.00, 90.00 degrees
Site moments in Bohr magnetons follow the coordinates.
Fractional coordinates of all 4 atoms:
P: 0.000 0.000 0.774  -0.14
P: 0.000 0.000 0.226  -0.14
Ac: 0.500 0.500 0.500  -0.01
Pu: 0.500 0.500 0.000  5.08

Symmetry: No. 123
DFT formation energy in meV/atom: -940
Crystal system: tetragonal
Size of the total moment in μB per cell: 4.85
E_tot in eV per atom: -8.25



(13)
Density functional theory data (PBE-GGA) for a relaxed AcPuP crystal.

Cell lengths 6.810, 4.023, 4.023 Å; angles 120.00, 90.00, 90.00 degrees
Site moments in Bohr magnetons follow the coordinates.
Fractional coordinates of all 3 atoms:
P: 0.023 0.000 0.000  -0.07
Ac: 0.731 0.667 0.333  0.11
Pu: 0.247 0.333 0.667  5.42

Symmetry: No. 156
DFT formation energy in meV/atom: -613
Crystal system: trigonal
Size of the total moment in μB per cell: 6.28
E_tot in eV per atom: -8.56



(14)
Density functional theory data (PBE-GGA) for a relaxed AcPuP2 crystal.

Cell lengths 4.136, 4.136, 7.686 Å; angles 74.39, 74.39, 60.00 degrees
Site moments in Bohr magnetons follow the coordinates.
Fractional coordinates of all 4 atoms:
Ac: 0.670 0.670 0.991  -0.01
Pu: 0.499 0.499 0.503  -5.04
P: 0.089 0.089 0.732  0.10
P: 0.242 0.242 0.274  0.12

Symmetry: No. 160
DFT formation energy in meV/atom: -1066
Crystal system: trigonal
Size of the total moment in μB per cell: 5.00
E_tot in eV per atom: -8.38



(15)
Density functional theory data (PBE-GGA) for a relaxed Ac2PuP3Rh4 crystal.

Cell lengths 4.154, 4.154, 11.263 Å; angles 90.00, 90.00, 90.00 degrees
Site moments in Bohr magnetons follow the coordinates.
Fractional coordinates of all 10 atoms:
Ac: 0.500 0.000 0.233  0.05
Ac: 0.000 0.500 0.767  0.05
Pu: 0.500 0.500 0.500  5.11
P: 0.000 0.000 0.500  -0.10
P: 0.500 0.000 0.882  0.01
P: 0.000 0.500 0.118  0.01
Rh: 0.500 0.500 0.000  0.11
Rh: 0.000 0.000 0.000  0.09
Rh: 0.500 0.000 0.667  -0.11
Rh: 0.000 0.500 0.333  -0.11

Symmetry: No. 115
DFT formation energy in meV/atom: -933
Crystal system: tetragonal
Size of the total moment in μB per cell: 5.52
E_tot in eV per atom: -7.75



(16)
Density functional theory data (PBE-GGA) for a relaxed AcSm2PuP4 crystal.

Cell lengths 4.174, 7.225, 7.223 Å; angles 70.58, 90.00, 90.00 degrees
Site moments in Bohr magnetons follow the coordinates.
Fractional coordinates of all 8 atoms:
Ac: 0.500 0.500 0.000  0.01
Sm: 0.000 0.000 0.000  0.02
Sm: 0.500 0.000 0.500  0.02
Pu: 0.000 0.500 0.500  4.98
P: 0.000 0.759 0.734  -0.05
P: 0.000 0.241 0.266  -0.05
P: 0.500 0.749 0.263  -0.08
P: 0.500 0.251 0.737  -0.08

Symmetry: No. 10
DFT formation energy in meV/atom: -1379
Crystal system: monoclinic
Size of the total moment in μB per cell: 4.89
E_tot in eV per atom: -7.57



(17)
Density functional theory data (PBE-GGA) for a relaxed Ac4PuTh3P8 crystal.

Cell lengths 8.517, 8.577, 8.517 Å; angles 119.77, 120.00, 90.00 degrees
Site moments in Bohr magnetons follow the coordinates.
Fractional coordinates of all 16 atoms:
Ac: 0.500 0.000 0.000  0.02
Ac: 0.500 0.000 0.500  0.01
Ac: 0.000 0.000 0.000  0.01
Ac: 0.000 0.000 0.500  0.01
Pu: 0.000 0.500 0.000  5.13
Th: 0.500 0.500 0.000  0.01
Th: 0.500 0.500 0.500  0.01
Th: 0.000 0.500 0.500  0.01
P: 0.242 0.728 0.986  -0.03
P: 0.242 0.728 0.484  -0.03
P: 0.257 0.271 0.514  0.00
P: 0.744 0.728 0.986  -0.03
P: 0.256 0.272 0.014  -0.03
P: 0.743 0.729 0.486  0.00
P: 0.758 0.272 0.516  -0.03
P: 0.758 0.272 0.014  -0.03

Symmetry: No. 166
DFT formation energy in meV/atom: -1453
Crystal system: trigonal
Size of the total moment in μB per cell: 5.40
E_tot in eV per atom: -7.47



(18)
Density functional theory data (PBE-GGA) for a relaxed Ac2PuThP4 crystal.

Cell lengths 4.254, 7.352, 7.417 Å; angles 109.40, 90.00, 90.00 degrees
Site moments in Bohr magnetons follow the coordinates.
Fractional coordinates of all 8 atoms:
Ac: 0.500 0.000 0.500  0.02
Ac: 0.000 0.500 0.500  0.02
Pu: 0.000 0.000 0.000  5.06
Th: 0.500 0.500 0.000  0.02
P: 0.500 0.238 0.224  -0.07
P: 0.500 0.762 0.776  -0.07
P: 0.000 0.256 0.772  -0.03
P: 0.000 0.744 0.228  -0.03

Symmetry: No. 10
DFT formation energy in meV/atom: -1386
Crystal system: monoclinic
Size of the total moment in μB per cell: 5.25
E_tot in eV per atom: -7.84



(19)
Density functional theory data (PBE-GGA) for a relaxed AcPu2ZnP4 crystal.

Cell lengths 4.075, 7.038, 13.450 Å; angles 90.00, 90.00, 106.83 degrees
Site moments in Bohr magnetons follow the coordinates.
Fractional coordinates of all 16 atoms:
Ac: 0.114 0.229 0.750  -0.02
Ac: 0.886 0.771 0.250  -0.02
Pu: 0.370 0.739 0.557  4.77
Pu: 0.630 0.261 0.057  4.77
Pu: 0.630 0.261 0.443  4.77
Pu: 0.370 0.739 0.943  4.77
Zn: 0.848 0.696 0.750  -0.02
Zn: 0.152 0.304 0.250  -0.02
P: 0.264 0.529 0.114  -0.13
P: 0.736 0.471 0.614  -0.13
P: 0.736 0.471 0.886  -0.13
P: 0.264 0.529 0.386  -0.13
P: 0.000 0.000 0.500  -0.18
P: 0.000 0.000 0.000  -0.18
P: 0.445 0.890 0.750  -0.10
P: 0.555 0.110 0.250  -0.10

Symmetry: No. 63
DFT formation energy in meV/atom: -990
Crystal system: orthorhombic
Size of the total moment in μB per cell: 17.98
E_tot in eV per atom: -7.95



(20)
Density functional theory data (PBE-GGA) for a relaxed RbAcP4 crystal.

Cell lengths 5.671, 5.671, 5.671 Å; angles 60.00, 60.00, 60.00 degrees
Fractional coordinates of all 6 atoms:
P: 0.634 0.634 0.099
P: 0.634 0.099 0.634
P: 0.634 0.634 0.634
P: 0.099 0.634 0.634
Ac: 0.250 0.250 0.250
Rb: 0.000 0.000 0.000

Symmetry: No. 216
DFT formation energy in meV/atom: -142
Crystal system: cubic
Size of the total moment in μB per cell: 0.00
E_tot in eV per atom: -4.59



(21)
Density functional theory data (PBE-GGA) for a relaxed RbAcP2S6 crystal.

Cell lengths 6.519, 6.519, 9.688 Å; angles 70.34, 70.34, 60.00 degrees
Site moments in Bohr magnetons follow the coordinates.
Fractional coordinates of all 10 atoms:
Rb: 0.000 0.000 0.000  0.00
Ac: 0.500 0.500 0.500  0.05
P: 0.751 0.751 0.748  0.20
P: 0.249 0.249 0.252  0.20
S: 0.049 0.444 0.696  0.11
S: 0.811 0.049 0.696  0.11
S: 0.556 0.189 0.304  0.11
S: 0.951 0.556 0.304  0.11
S: 0.189 0.951 0.304  0.11
S: 0.444 0.811 0.696  0.11

Symmetry: No. 148
Formation energy from raw total energies in eV/atom: -0.750
Crystal system: trigonal
Size of the total moment in μB per cell: 1.98
E_tot in eV per atom: -4.82



(22)
Density functional theory data (PBE-GGA) for a relaxed Rb2AcP2S6 crystal.

Cell lengths 7.230, 7.230, 8.458 Å; angles 64.70, 64.70, 60.00 degrees
Fractional coordinates of all 11 atoms:
Rb: 0.781 0.781 0.657
Rb: 0.219 0.219 0.343
Ac: 0.000 0.000 0.000
P: 0.446 0.446 0.661
P: 0.554 0.554 0.339
S: 0.737 0.737 0.276
S: 0.251 0.737 0.276
S: 0.737 0.251 0.276
S: 0.263 0.749 0.724
S: 0.749 0.263 0.724
S: 0.263 0.263 0.724

Symmetry: No. 166
Formation energy from raw total energies in eV/atom: -0.910
Crystal system: trigonal
Size of the total moment in μB per cell: 0.00
E_tot in eV per atom: -4.69



(23)
Density functional theory data (PBE-GGA) for a relaxed AcReP crystal.

Cell lengths 3.283, 3.283, 6.154 Å; angles 105.47, 105.47, 90.00 degrees
Fractional coordinates of all 3 atoms:
Re: 0.292 0.292 0.584
Ac: 0.000 0.000 0.000
P: 0.708 0.708 0.415

Symmetry: No. 107
DFT formation energy in meV/atom: -142
Crystal system: tetragonal
Size of the total moment in μB per cell: 0.00
E_tot in eV per atom: -7.46



(24)
Density functional theory data (PBE-GGA) for a relaxed Ac2ReP crystal.

Cell lengths 4.036, 4.036, 9.557 Å; angles 77.81, 77.81, 60.00 degrees
Site moments in Bohr magnetons follow the coordinates.
Fractional coordinates of all 4 atoms:
Re: 0.000 0.000 0.000  0.09
Ac: 0.099 0.099 0.703  0.00
Ac: 0.901 0.901 0.297  0.00
P: 0.500 0.500 0.500  0.01

Symmetry: No. 166
DFT formation energy in meV/atom: 736
Crystal system: trigonal
Size of the total moment in μB per cell: 0.10
E_tot in eV per atom: -5.78



(25)
Density functional theory data (PBE-GGA) for a relaxed Ac2ReP crystal.

Cell lengths 3.869, 5.222, 5.222 Å; angles 90.00, 90.00, 90.00 degrees
Site moments in Bohr magnetons follow the coordinates.
Fractional coordinates of all 4 atoms:
Re: 0.500 0.500 0.500  0.65
Ac: 0.000 0.000 0.500  0.00
Ac: 0.000 0.500 0.000  0.00
P: 0.500 0.000 0.000  0.02

Symmetry: No. 123
DFT formation energy in meV/atom: 51
Crystal system: tetragonal
Size of the total moment in μB per cell: 0.79
E_tot in eV per atom: -6.47